A plane-wave DFT calculation with PBE was carried out for Rb3Te2I8 after structural relaxation.

It has space group R-3m (No. 166, hexagonal axes), with a = 8.3419 Å, b = 8.3419 Å, c = 34.0523 Å, α = 90.00°, β = 90.00° and γ = 120.00°. Symmetry generates all atoms from Rb at (0.0000, 0.0000, 0.0000), Rb at (0.0000, 0.0000, 0.2030), Te at (0.0000, 0.0000, 0.3962), I at (0.0000, 0.0000, 0.3092) and I at (0.0385, 0.5193, 0.7717).

As for the volume: 52.6 Å³ per atom. The energy relative to the elements, uncorrected is -0.540 eV/atom. The energy comes out at -85.81 eV per cell.